VASP calculation (PBE) on an optimized crystal structure of CdIrCl2.

Calculated values
Formation energy (no corrections)   498.6 meV per atom
Energy above the lowest structure with this stoichiometry   676 meV per atom
Total magnetic moment   0.00 μB/cell
Final energy   -22.950 eV/cell

a = 3.7308 Å, b = 3.7308 Å, c = 11.0303 Å
α = 90.00°, β = 90.00°, γ = 90.00°
Last column: nearest neighbours and their distance in Å.
Space group I-4m2 (No. 119)
Inequivalent atoms, fractional coordinates:
Cd1 0.0000 0.0000 0.0000 [2 per cell]  4 Cl 2.64
Ir1 0.0000 0.5000 0.2500 [2 per cell]  4 Cl 2.64
Cl1 0.0000 0.0000 0.5000 [2 per cell]  4 Cd 2.64
Cl2 0.0000 0.5000 0.7500 [2 per cell]  4 Ir 2.64